(1)
The following is a PBE-GGA calculation of a relaxed YZnW2 crystal, from Alexandria.

Summary:
DOS(E_F)	0.649	states/eV/atom
E_form	65	kJ/mol of formula units
V	18.9	A^3/atom
total magnetization	0.000	μB per atom
SG	No. 99

a b c (Å): 3.3005 3.3005 6.9341
angles (deg): 90.00 90.00 90.00
Closest atoms and distances in Å follow each position.
Sites, in units of the cell vectors:
Y  0.0000  0.0000  0.0000  5 W 3.10-3.36, 4 Zn 3.11, 4 Y 3.30
Zn  0.5000  0.5000  0.2972  5 W 2.78-2.83, 4 Y 3.11
W  0.0000  0.0000  0.5159  4 W 2.68, 4 Zn 2.78
W  0.5000  0.5000  0.7058  4 W 2.68, 1 Zn 2.83

=====

(2)
The following is a PBE-GGA calculation of a relaxed Pm5Sc2In5 crystal, from Alexandria.

Summary:
DOS(E_F)	0.786	states/eV/atom
E_form	-358	kJ/mol of formula units
V	28.2	A^3/atom
total magnetization	0.000	μB per atom
SG	No. 12

a b c (Å): 5.6590 5.6590 13.2329
angles (deg): 103.77 103.77 56.11
Closest atoms and distances in Å follow each position.
Sites, in units of the cell vectors:
Pm  0.0000  0.0000  0.0000  8 In 3.31-3.63
Pm  0.3513  0.3513  0.5137  3 In 3.08-3.26, 3 Pm 3.09-3.30, 1 Sc 3.28
Pm  0.4265  0.4265  0.1892  7 In 3.29-3.57, 3 Sc 3.40-3.63
Pm  0.5735  0.5735  0.8108  7 In 3.29-3.57, 3 Sc 3.40-3.63
Pm  0.6487  0.6487  0.4863  3 In 3.08-3.26, 3 Pm 3.09-3.30, 1 Sc 3.28
Sc  0.1982  0.1982  0.7044  4 In 2.89-3.18
Sc  0.8018  0.8018  0.2956  4 In 2.89-3.18
In  0.0000  0.0000  0.5000  2 Sc 2.89, 4 Pm 3.08
In  0.1247  0.1247  0.2842  3 Sc 3.18-3.27, 3 Pm 3.26-3.35, 1 In 3.41
In  0.2960  0.2960  0.9328  1 Sc 2.91
In  0.7040  0.7040  0.0672  1 Sc 2.91
In  0.8753  0.8753  0.7158  3 Sc 3.18-3.27, 3 Pm 3.26-3.35, 1 In 3.41

=====

> Which of these has the lowest E_form?

Pm5Sc2In5